# 1
Rb2SrHI6, optimized geometry, DFT PBE; space-group type = I4/mmm; DOS at the Fermi energy = 13.7 states/eV per cell; raw total energy = -2.57 eV/atom
1.0
-3.9587 2.3313 8.1815
-6.1492 -7.0200 -0.9751
-1.8091 -5.5309 6.0813
I Sr Rb H
6 1 2 1
Direct
0.3170 0.3170 0.3659
0.6830 0.6830 0.6341
0.2402 0.2402 0.0000
0.7598 0.7598 0.0000
0.7598 0.2402 0.0000
0.2402 0.7598 0.0000
0.0000 0.0000 0.0000
0.7500 0.2500 0.5000
0.2500 0.7500 0.5000
0.5000 0.5000 0.0000

---

# 2
RbSrHI2, optimized geometry, DFT PBE; space-group type = P4/mmm; DOS at the Fermi energy = 0.0 states/eV per cell; raw total energy = -3.01 eV/atom
1.0
6.5773 0.0000 0.0000
0.0000 6.5773 0.0000
0.0000 0.0000 4.6811
I Sr Rb H
2 1 1 1
Direct
0.0000 0.5000 0.0000
0.5000 0.0000 0.0000
0.0000 0.0000 0.0000
0.5000 0.5000 0.5000
0.0000 0.0000 0.5000